Material: FeAgAs2Se
Method: DFT, PBE
State: relaxed

The structure in POSCAR format:
```
FeAgAs2Se
1.0
4.957 0.000 0.000
0.000 4.957 0.000
0.000 0.000 5.078
As Se Ag Fe
2 1 1 1
Cartesian
0.000 2.479 0.000 As
2.479 0.000 0.000 As
0.000 0.000 2.539 Se
0.000 0.000 0.000 Ag
2.479 2.479 2.539 Fe
```

## Properties
D(E_F): 7.64 states/eV per cell
Formation energy from raw total energies: 1.206 eV per atom
Offset from the most stable computed form: 0.811 eV per atom